# TiNiIO2 (PBE with a Hubbard U, relaxed)
# Energy above the lowest structure with this stoichiometry in kJ/mol of atoms: 133.3
# Density of states at the Fermi level in states/eV/cell: 3.671
# E in eV per atom: -4.25
data_TiNiIO2
_chemical_formula_sum 'Ti1 Ni1 I1 O2'
_symmetry_space_group_name_H-M 'P 4/m m m'
_symmetry_Int_Tables_number 123
_symmetry_space_group_name_Hall '-P 4 2'
_cell_length_a 3.856
_cell_length_b 3.856
_cell_length_c 4.996
_cell_angle_alpha 90.00
_cell_angle_beta 90.00
_cell_angle_gamma 90.00
loop_
_atom_site_label
_atom_site_fract_x
_atom_site_fract_y
_atom_site_fract_z
Ti1 0.000 0.000 0.000
Ni1 0.500 0.500 0.500
I1 0.500 0.500 0.000
O1 0.000 0.500 0.500